Material: TmScSbC
Method: DFT, GGA-PBE
State: optimized geometry

a = 3.504 Å, b = 3.504 Å, c = 14.689 Å
α = 90.00°, β = 90.00°, γ = 120.00°
Fractional positions:
Tm (0.333, 0.667, 0.000)
Tm (0.667, 0.333, 0.500)
Sc (0.333, 0.667, 0.330)
Sc (0.667, 0.333, 0.830)
Sb (0.333, 0.667, 0.670)
Sb (0.667, 0.333, 0.170)
C (0.000, 0.000, 0.410)
C (0.000, 0.000, 0.910)

Results
M_tot	0.001	μB per atom
space group	No. 186
offset from the most stable computed form	0.0000	eV per atom
total energy	-53.95	eV per cell